[1]
TlTc: relaxed, PBE.

Values from the calculation:
Total magnetization: 0.01 Bohr magnetons per cell
E_form: 1.87 eV/f.u.
E: -21.717 eV per cell

abc: 5.2379 5.2379 5.2379
angles: 133.54 133.54 67.81
Fractional coordinates of all 4 atoms:
Tl 0.3750 0.6250 0.7500
Tl 0.6250 0.3750 0.2500
Tc 0.1250 0.8750 0.2500
Tc 0.8750 0.1250 0.7500

[2]
Tm5TlTc: relaxed, PBE.

Values from the calculation:
Total magnetization: 0.00 Bohr magnetons per cell
E_form: -0.05 eV/f.u.
E: -70.282 eV per cell

abc: 5.8667 5.8667 11.7642
angles: 102.43 102.43 77.72
Fractional coordinates of all 14 atoms:
Tm 0.0090 0.9910 0.7500
Tm 0.0799 0.4166 0.6245
Tm 0.2059 0.5433 0.9360
Tm 0.4166 0.0799 0.1245
Tm 0.4567 0.7941 0.5640
Tm 0.5433 0.2059 0.4360
Tm 0.5834 0.9201 0.8755
Tm 0.7941 0.4567 0.0640
Tm 0.9201 0.5834 0.3755
Tm 0.9910 0.0090 0.2500
Tl 0.4037 0.5963 0.2500
Tl 0.5963 0.4037 0.7500
Tc 0.0000 0.0000 0.0000
Tc 0.0000 0.0000 0.5000

[3]
Tm5Tl2Tc: relaxed, PBE.

Values from the calculation:
Total magnetization: 0.00 Bohr magnetons per cell
E_form: -1.83 eV/f.u.
E: -78.565 eV per cell

abc: 6.6161 12.4989 4.9485
angles: 90.00 90.00 90.00
Fractional coordinates of all 16 atoms:
Tm 0.0000 0.0000 0.0000
Tm 0.1140 0.2851 0.0000
Tm 0.1689 0.5931 0.5000
Tm 0.3311 0.0931 0.5000
Tm 0.3860 0.7851 0.0000
Tm 0.5000 0.5000 0.0000
Tm 0.6140 0.2149 0.0000
Tm 0.6689 0.9069 0.5000
Tm 0.8311 0.4069 0.5000
Tm 0.8860 0.7149 0.0000
Tl 0.1274 0.8476 0.5000
Tl 0.3726 0.3476 0.5000
Tl 0.6274 0.6524 0.5000
Tl 0.8726 0.1524 0.5000
Tc 0.0000 0.5000 0.0000
Tc 0.5000 0.0000 0.0000

[4]
Tm5TlTc2: relaxed, PBE.

Values from the calculation:
Total magnetization: 0.00 Bohr magnetons per cell
E_form: -1.41 eV/f.u.
E: -93.730 eV per cell

abc: 9.0075 9.0075 9.0075
angles: 131.23 131.23 71.45
Fractional coordinates of all 16 atoms:
Tm 0.0000 0.0000 0.0000
Tm 0.0383 0.5383 0.8459
Tm 0.1924 0.0383 0.5000
Tm 0.3076 0.8076 0.8459
Tm 0.4617 0.3076 0.5000
Tm 0.5000 0.5000 0.0000
Tm 0.5383 0.6924 0.5000
Tm 0.6924 0.1924 0.1541
Tm 0.8076 0.9617 0.5000
Tm 0.9617 0.4617 0.1541
Tl 0.2500 0.2500 0.0000
Tl 0.7500 0.7500 0.0000
Tc 0.1199 0.3801 0.5000
Tc 0.3801 0.8801 0.2602
Tc 0.6199 0.1199 0.7398
Tc 0.8801 0.6199 0.5000

[5]
Tm12Tl6Tc: relaxed, PBE.

Values from the calculation:
Total magnetization: 0.00 Bohr magnetons per cell
E_form: -1.64 eV/f.u.
E: -79.864 eV per cell

abc: 8.0365 8.0365 8.0365
angles: 91.01 91.01 91.01
Fractional coordinates of all 19 atoms:
Tm 0.0391 0.3014 0.9516
Tm 0.0484 0.9609 0.6986
Tm 0.1580 0.3776 0.4828
Tm 0.3014 0.9516 0.0391
Tm 0.3776 0.4828 0.1580
Tm 0.4828 0.1580 0.3776
Tm 0.5172 0.8420 0.6224
Tm 0.6224 0.5172 0.8420
Tm 0.6986 0.0484 0.9609
Tm 0.8420 0.6224 0.5172
Tm 0.9516 0.0391 0.3014
Tm 0.9609 0.6986 0.0484
Tl 0.2058 0.7624 0.3781
Tl 0.2376 0.6219 0.7942
Tl 0.3781 0.2058 0.7624
Tl 0.6219 0.7942 0.2376
Tl 0.7624 0.3781 0.2058
Tl 0.7942 0.2376 0.6219
Tc 0.5000 0.5000 0.5000

[6]
TmZrTlTc: relaxed, PBE.

Values from the calculation:
Total magnetization: 0.00 Bohr magnetons per cell
E_form: -0.27 eV/f.u.
E: -26.021 eV per cell

abc: 4.9385 4.9385 4.9385
angles: 60.00 60.00 60.00
Fractional coordinates of all 4 atoms:
Tm 0.0000 0.0000 0.0000
Zr 0.5000 0.5000 0.5000
Tl 0.7500 0.7500 0.7500
Tc 0.2500 0.2500 0.2500

[7]
UTlTc2: relaxed, PBE.

Values from the calculation:
Total magnetization: 0.00 Bohr magnetons per cell
E_form: 0.58 eV/f.u.
E: -33.807 eV per cell

abc: 4.4870 4.4870 3.6193
angles: 90.00 90.00 90.00
Fractional coordinates of all 4 atoms:
U 0.0000 0.0000 0.0000
Tl 0.5000 0.5000 0.0000
Tc 0.0000 0.5000 0.5000
Tc 0.5000 0.0000 0.5000

[8]
TlVTc2: relaxed, PBE.

Values from the calculation:
Total magnetization: 0.00 Bohr magnetons per cell
E_form: 1.64 eV/f.u.
E: -30.577 eV per cell

abc: 4.4892 4.4892 4.4892
angles: 60.00 60.00 60.00
Fractional coordinates of all 4 atoms:
Tl 0.0000 0.0000 0.0000
V 0.5000 0.5000 0.5000
Tc 0.2500 0.2500 0.2500
Tc 0.7500 0.7500 0.7500